Record 1
DFT (PBE) results for Tb5Sm7Dy after structural relaxation.

Summary:
calculated formation energy	23.16	kJ/mol of atoms

abc: 6.7151 11.2854 11.6838
angles: 90.00 90.00 90.00
Closest atoms and distances in Å follow each position.
Space group Imm2 (No. 44)
Inequivalent atoms, fractional coordinates:
Tb 0.0000 0.0000 0.0000 [2 per cell]  4 Tb 3.14, 4 Sm 3.50
Tb 0.2323 0.2714 0.5017 [8 per cell]  2 Tb 3.12-3.14, 3 Sm 3.44-3.49
Sm 0.0000 0.0000 0.4985 [2 per cell]  6 Sm 3.36-3.53, 4 Tb 3.44
Sm 0.0000 0.1711 0.2496 [4 per cell]  5 Tb 3.47-3.52, 5 Sm 3.49-3.86
Sm 0.0000 0.1719 0.7511 [4 per cell]  5 Tb 3.49-3.50, 4 Sm 3.53-3.88, 1 Dy 3.77
Sm 0.0000 0.5000 0.3067 [2 per cell]  7 Sm 3.60-3.93, 4 Tb 3.78
Sm 0.0000 0.5000 0.9986 [2 per cell]  3 Sm 3.36-3.60, 4 Tb 3.55, 1 Dy 3.60
Dy 0.0000 0.5000 0.6901 [2 per cell]  7 Sm 3.60-3.94, 6 Tb 3.73-4.03


Record 2
DFT (PBE) results for Tb5Sm2Dy5 after structural relaxation.

Summary:
calculated formation energy	1.56	kJ/mol of atoms

abc: 15.1223 5.0354 11.2652
angles: 90.00 116.54 90.00
Closest atoms and distances in Å follow each position.
Space group C2/m (No. 12)
Inequivalent atoms, fractional coordinates:
Tb 0.0000 0.0000 0.0000 [2 per cell]  4 Sm 3.56, 2 Tb 3.57, 6 Dy 3.57
Tb 0.0840 0.0000 0.7502 [4 per cell]  7 Dy 3.55-3.56, 3 Tb 3.55-3.57, 2 Sm 3.57
Tb 0.1665 0.0000 0.5000 [4 per cell]  4 Tb 3.55-3.57, 5 Dy 3.56-3.57, 3 Sm 3.57
Sm 0.0832 0.5000 0.2494 [4 per cell]  7 Tb 3.56-3.57, 5 Dy 3.56-3.57
Dy 0.0000 0.5000 0.5000 [2 per cell]  2 Dy 3.56, 8 Tb 3.56, 2 Sm 3.57
Dy 0.1673 0.5000 0.0002 [4 per cell]  5 Tb 3.55-3.57, 5 Dy 3.55-3.56, 2 Sm 3.56-3.57
Dy 0.2493 0.5000 0.7498 [4 per cell]  6 Tb 3.55-3.57, 4 Dy 3.55-3.56, 2 Sm 3.57


Record 3
DFT (PBE) results for Tb5Sm2Dy3 after structural relaxation.

Summary:
calculated formation energy	19.05	kJ/mol of atoms

abc: 10.6494 15.8925 9.4391
angles: 90.00 124.08 90.00
Closest atoms and distances in Å follow each position.
Space group C2/c (No. 15)
Inequivalent atoms, fractional coordinates:
Tb 0.0000 0.0287 0.2500 [4 per cell]  1 Tb 3.12, 2 Dy 3.33
Tb 0.0000 0.2253 0.2500 [4 per cell]  1 Tb 3.12, 2 Sm 3.30
Tb 0.0000 0.2689 0.7500 [4 per cell]  5 Dy 3.31-3.49, 2 Sm 3.44, 2 Tb 3.56
Tb 0.2295 0.1202 0.7127 [8 per cell]  3 Dy 3.43-3.64, 2 Sm 3.43-3.69, 3 Tb 3.56-3.65
Sm 0.1397 0.3731 0.5467 [8 per cell]  3 Dy 3.18-3.45, 5 Tb 3.30-3.55
Dy 0.0000 0.4780 0.7500 [4 per cell]  4 Sm 3.31-3.45, 3 Tb 3.32-3.52, 2 Dy 3.40
Dy 0.1585 0.1208 0.0473 [8 per cell]  1 Sm 3.18, 5 Tb 3.31-3.50, 1 Dy 3.40


Record 4
DFT (PBE) results for TbSm5Dy5 after structural relaxation.

Summary:
calculated formation energy	29.48	kJ/mol of atoms

abc: 6.1015 6.1015 11.6613
angles: 90.00 90.00 120.00
Closest atoms and distances in Å follow each position.
Space group P-6m2 (No. 187)
Inequivalent atoms, fractional coordinates:
Tb 0.0000 0.0000 0.0000 [1 per cell]  5 Sm 3.52-3.71
Sm 0.0000 0.0000 0.3181 [2 per cell]  9 Dy 3.58-3.72, 1 Tb 3.71, 3 Sm 4.00
Sm 0.3333 0.6667 0.1550 [2 per cell]  7 Sm 3.62-4.00, 3 Dy 3.75, 3 Tb 3.96
Sm 0.6667 0.3333 0.0000 [1 per cell]  2 Dy 3.09
Dy 0.0014 0.5007 0.5000 [3 per cell]  6 Dy 3.04-3.26
Dy 0.6667 0.3333 0.2653 [2 per cell]  1 Sm 3.09, 3 Dy 3.26


Record 5
DFT (PBE) results for Tb7Sm12Dy after structural relaxation.

Summary:
calculated formation energy	24.19	kJ/mol of atoms

abc: 19.5891 19.5891 6.1828
angles: 90.00 90.00 120.00
Closest atoms and distances in Å follow each position.
Space group R-3m (No. 166, hexagonal axes)
Inequivalent atoms, fractional coordinates:
Tb 0.0000 0.0000 0.0000 [3 per cell]  2 Dy 3.09, 6 Tb 3.31
Tb 0.0819 0.1638 0.2917 [18 per cell]  1 Dy 3.06, 4 Sm 3.31-3.35, 1 Tb 3.31
Sm 0.0000 0.4131 0.0000 [18 per cell]  2 Tb 3.35, 5 Sm 3.40-3.71
Sm 0.0971 0.5486 0.4613 [18 per cell]  4 Tb 3.31-3.60, 1 Sm 3.33
Dy 0.0000 0.0000 0.5000 [3 per cell]  8 Tb 3.06-3.09


Record 6
DFT (PBE) results for Tb2Sm5Dy3 after structural relaxation.

Summary:
calculated formation energy	37.07	kJ/mol of atoms

abc: 9.3862 13.6595 10.9233
angles: 90.00 90.00 90.00
Closest atoms and distances in Å follow each position.
Space group Ibam (No. 72)
Inequivalent atoms, fractional coordinates:
Tb 0.0911 0.1224 0.0000 [8 per cell]  1 Sm 2.90, 1 Dy 3.21
Sm 0.0000 0.2484 0.2500 [8 per cell]  2 Tb 3.34, 3 Sm 3.35-3.44, 1 Dy 3.39
Sm 0.0000 0.5000 0.2500 [4 per cell]  6 Sm 3.37-3.44
Sm 0.1002 0.3729 0.5000 [8 per cell]  1 Tb 2.90
Dy 0.0000 0.0000 0.2500 [4 per cell]  4 Tb 3.31, 2 Sm 3.39
Dy 0.2490 0.3759 0.0000 [8 per cell]  1 Tb 3.21, 1 Sm 3.28


Record 7
DFT (PBE) results for Tb2Sm15Dy2 after structural relaxation.

Summary:
calculated formation energy	26.73	kJ/mol of atoms

abc: 11.1787 11.1787 18.1409
angles: 90.00 90.00 120.00
Closest atoms and distances in Å follow each position.
Space group R-3m (No. 166, hexagonal axes)
Inequivalent atoms, fractional coordinates:
Tb 0.0000 0.0000 0.0924 [6 per cell]  1 Tb 3.35, 9 Sm 3.50-3.72
Sm 0.0000 0.2970 0.0000 [18 per cell]  6 Sm 3.30-3.47
Sm 0.0000 0.5000 0.5000 [9 per cell]  8 Sm 3.40-3.47, 2 Tb 3.50
Sm 0.0226 0.5113 0.1318 [18 per cell]  6 Sm 3.26-3.40
Dy 0.0000 0.0000 0.3158 [6 per cell]  15 Sm 3.96-4.21, 1 Tb 4.05


Record 8
DFT (PBE) results for TbSm2Dy2 after structural relaxation.

Summary:
calculated formation energy	1.78	kJ/mol of atoms

abc: 15.8266 6.3044 6.7878
angles: 90.00 103.93 90.00
Closest atoms and distances in Å follow each position.
Space group C2/c (No. 15)
Inequivalent atoms, fractional coordinates:
Tb 0.0000 0.0831 0.2500 [4 per cell]  6 Dy 3.54-3.63, 4 Sm 3.55-3.64, 2 Tb 3.55
Sm 0.1997 0.0842 0.6499 [8 per cell]  2 Tb 3.55-3.64, 5 Sm 3.55-3.64, 5 Dy 3.57-3.66
Dy 0.0986 0.4169 0.9511 [8 per cell]  4 Dy 3.50-3.62, 3 Tb 3.54-3.63, 5 Sm 3.57-3.66


Copy entry 6 word for word.
DFT (PBE) results for Tb2Sm5Dy3 after structural relaxation.

Summary:
calculated formation energy	37.07	kJ/mol of atoms

abc: 9.3862 13.6595 10.9233
angles: 90.00 90.00 90.00
Closest atoms and distances in Å follow each position.
Space group Ibam (No. 72)
Inequivalent atoms, fractional coordinates:
Tb 0.0911 0.1224 0.0000 [8 per cell]  1 Sm 2.90, 1 Dy 3.21
Sm 0.0000 0.2484 0.2500 [8 per cell]  2 Tb 3.34, 3 Sm 3.35-3.44, 1 Dy 3.39
Sm 0.0000 0.5000 0.2500 [4 per cell]  6 Sm 3.37-3.44
Sm 0.1002 0.3729 0.5000 [8 per cell]  1 Tb 2.90
Dy 0.0000 0.0000 0.2500 [4 per cell]  4 Tb 3.31, 2 Sm 3.39
Dy 0.2490 0.3759 0.0000 [8 per cell]  1 Tb 3.21, 1 Sm 3.28